DFT (PBE) results for a geometry-optimized LaHfMg14 structure.

abc: 6.5750 6.5750 10.2875
angles: 90.00 90.00 120.00
Sites, in units of the cell vectors:
1 La 0.0000 0.0000 0.0000
2 Hf 0.0000 0.0000 0.5000
3 Mg 0.0150 0.5075 0.0000
4 Mg 0.1672 0.3344 0.2615
5 Mg 0.1672 0.3344 0.7385
6 Mg 0.1672 0.8328 0.2615
7 Mg 0.1672 0.8328 0.7385
8 Mg 0.4925 0.5075 0.0000
9 Mg 0.4925 0.9850 0.0000
10 Mg 0.5008 0.0017 0.5000
11 Mg 0.5008 0.4992 0.5000
12 Mg 0.6656 0.8328 0.2615
13 Mg 0.6656 0.8328 0.7385
14 Mg 0.6667 0.3333 0.2428
15 Mg 0.6667 0.3333 0.7572
16 Mg 0.9983 0.4992 0.5000

Values from the calculation:
Total magnetic moment (μB per formula unit): 0.00
Calculated formation energy (meV per atom): 63
DOS(E_F) (states/eV/atom): 0.664
VASP energy (eV/atom): -2.262
Volume (Å³ per cell): 385.2

=====

DFT (PBE) results for a geometry-optimized LaHfMg3 structure.

abc: 5.4134 5.4134 5.4134
angles: 90.00 90.00 90.00
Sites, in units of the cell vectors:
1 La 0.0000 0.0000 0.0000
2 Hf 0.5000 0.5000 0.5000
3 Mg 0.0000 0.5000 0.5000
4 Mg 0.5000 0.0000 0.5000
5 Mg 0.5000 0.5000 0.0000

Values from the calculation:
Total magnetic moment (μB per formula unit): 0.00
Calculated formation energy (meV per atom): 747
DOS(E_F) (states/eV/atom): 1.195
VASP energy (eV/atom): -3.186
Volume (Å³ per cell): 158.6